# PBE-GGA ReRhI2N, relaxed
# - symmetry = P4/mmm
# - relative energy among the computed polymorphs (eV/atom) = 0.5262
# - raw formation energy (meV per atom) = 1409
# - E (eV/atom) = -4.836
data_ReRhI2N
_cell_length_a 5.660
_cell_length_b 5.660
_cell_length_c 3.664
_cell_angle_alpha 90.00
_cell_angle_beta 90.00
_cell_angle_gamma 90.00
_space_group_name_H-M_alt 'P 1'
_space_group_IT_number 1
loop_
_space_group_symop_operation_xyz
'x,y,z'
loop_
_atom_site_label
_atom_site_fract_x
_atom_site_fract_y
_atom_site_fract_z
Re1 0.000 0.000 0.000
Rh1 0.500 0.500 0.500
I1 0.000 0.500 0.500
I2 0.500 0.000 0.500
N1 0.500 0.500 0.000


# PBE-GGA ReRu2IN, relaxed
# - symmetry = P4/mmm
# - raw formation energy (meV per atom) = 1214
# - E (eV/atom) = -6.961
data_ReRu2IN
_cell_length_a 4.944
_cell_length_b 4.944
_cell_length_c 3.766
_cell_angle_alpha 90.00
_cell_angle_beta 90.00
_cell_angle_gamma 90.00
_space_group_name_H-M_alt 'P 1'
_space_group_IT_number 1
loop_
_space_group_symop_operation_xyz
'x,y,z'
loop_
_atom_site_label
_atom_site_fract_x
_atom_site_fract_y
_atom_site_fract_z
Re1 0.000 0.000 0.000
Ru1 0.000 0.500 0.000
Ru2 0.500 0.000 0.000
I1 0.500 0.500 0.500
N1 0.000 0.000 0.500


# PBE-GGA ReRuI2N, relaxed
# - symmetry = P4/mmm
# - relative energy among the computed polymorphs (eV/atom) = 0.2682
# - raw formation energy (meV per atom) = 1383
# - E (eV/atom) = -5.247
data_ReRuI2N
_cell_length_a 5.556
_cell_length_b 5.556
_cell_length_c 3.676
_cell_angle_alpha 90.00
_cell_angle_beta 90.00
_cell_angle_gamma 90.00
_space_group_name_H-M_alt 'P 1'
_space_group_IT_number 1
loop_
_space_group_symop_operation_xyz
'x,y,z'
loop_
_atom_site_label
_atom_site_fract_x
_atom_site_fract_y
_atom_site_fract_z
Re1 0.000 0.000 0.000
Ru1 0.500 0.500 0.500
I1 0.000 0.500 0.500
I2 0.500 0.000 0.500
N1 0.500 0.500 0.000


# PBE-GGA ReRuIN2, relaxed
# - symmetry = P4/mmm
# - relative energy among the computed polymorphs (eV/atom) = 0.0000
# - raw formation energy (meV per atom) = 1121
# - E (eV/atom) = -6.864
data_ReRuIN2
_cell_length_a 3.839
_cell_length_b 3.839
_cell_length_c 5.968
_cell_angle_alpha 90.00
_cell_angle_beta 90.00
_cell_angle_gamma 90.00
_space_group_name_H-M_alt 'P 1'
_space_group_IT_number 1
loop_
_space_group_symop_operation_xyz
'x,y,z'
loop_
_atom_site_label
_atom_site_fract_x
_atom_site_fract_y
_atom_site_fract_z
Re1 0.000 0.000 0.000
Ru1 0.500 0.500 0.500
I1 0.000 0.000 0.500
N1 0.000 0.500 0.000
N2 0.500 0.000 0.000


Q: Which value of E does entry 1 give?
A: -4.836 eV/atom


Q: What is the E in the third record?
A: -5.247 eV/atom